TbTaZn4 | PBE | relaxed

## Properties
Energy relative to the elements (eV per atom): -0.08
DOS(E_F) (states/eV/f.u.): 2.467
Space-group type: F-43m (216)

The structure in CIF format:
```
data_TbTaZn4
_chemical_formula_sum 'Tb1 Ta1 Zn4'
_cell_length_a 5.2620
_cell_length_b 5.2620
_cell_length_c 5.2620
_cell_angle_alpha 60.00
_cell_angle_beta 60.00
_cell_angle_gamma 60.00
_space_group_name_H-M_alt 'P 1'
_space_group_IT_number 1
loop_
_space_group_symop_operation_xyz
'x,y,z'
loop_
_atom_site_label
_atom_site_type_symbol
_atom_site_fract_x
_atom_site_fract_y
_atom_site_fract_z
Zn1 Zn 0.6239 0.6239 0.1284
Zn2 Zn 0.6239 0.1284 0.6239
Zn3 Zn 0.6239 0.6239 0.6239
Zn4 Zn 0.1284 0.6239 0.6239
Tb1 Tb 0.0000 0.0000 0.0000
Ta1 Ta 0.2500 0.2500 0.2500
```